No. 1
A relaxed Rb3ClO crystal, computed with PBEsol.

Calculated values
- E_tot (eV per atom) = -2.77
- uncorrected formation energy (eV per atom) = -0.70
- space group = Pm-3m (221)

Lattice parameters (Å, degrees): 5.9238 5.9238 5.9238 90.00 90.00 90.00
With the nearest neighbours (Å) after each atom.
Element x y z (fractional)
O1 0.5000 0.5000 0.5000  12 Rb 4.19
Rb1 0.0000 0.5000 0.0000  2 Cl 2.96
Rb2 0.0000 0.0000 0.5000  2 Cl 2.96
Rb3 0.5000 0.0000 0.0000  2 Cl 2.96
Cl1 0.0000 0.0000 0.0000  6 Rb 2.96

No. 2
A relaxed ReClO3 crystal, computed with PBEsol.

Calculated values
- E_tot (eV per atom) = -7.43
- uncorrected formation energy (eV per atom) = -1.22
- space group = P2_1/c (14)

Lattice parameters (Å, degrees): 5.6002 7.5959 9.2712 90.00 90.00 96.38
With the nearest neighbours (Å) after each atom.
Element x y z (fractional)
Re1 0.8095 0.2371 0.2695  3 O 1.72
Re2 0.6905 0.2629 0.7695  3 O 1.72
Re3 0.1905 0.7629 0.7305  3 O 1.72
Re4 0.3095 0.7371 0.2305  3 O 1.72
O1 0.6237 0.0516 0.3199  1 Re 1.72
O2 0.8763 0.4484 0.8199  1 Re 1.72
O3 0.3763 0.9484 0.6801  1 Re 1.72
O4 0.1237 0.5516 0.1801  1 Re 1.72
O5 0.8944 0.2035 0.0946  1 Re 1.72
O6 0.6056 0.2965 0.5946  1 Re 1.72
O7 0.1056 0.7965 0.9054  1 Re 1.72
O8 0.3944 0.7035 0.4054  1 Re 1.72
O9 0.6392 0.4116 0.2716  1 Re 1.72
O10 0.8608 0.0884 0.7716  1 Re 1.72
O11 0.3608 0.5884 0.7284  1 Re 1.72
O12 0.1392 0.9116 0.2284  1 Re 1.72
Cl1 0.1164 0.2722 0.4213  1 Re 2.21
Cl2 0.3836 0.2278 0.9213  1 Re 2.21
Cl3 0.8836 0.7278 0.5787  1 Re 2.21
Cl4 0.6164 0.7722 0.0787  1 Re 2.21

No. 3
A relaxed Re3ClO crystal, computed with PBEsol.

Calculated values
- E_tot (eV per atom) = -6.95
- uncorrected formation energy (eV per atom) = 2.50
- space group = Pm-3m (221)

Lattice parameters (Å, degrees): 4.2875 4.2875 4.2875 90.00 90.00 90.00
With the nearest neighbours (Å) after each atom.
Element x y z (fractional)
Re1 0.0000 0.5000 0.0000  2 Cl 2.14
Re2 0.0000 0.0000 0.5000  2 Cl 2.14
Re3 0.5000 0.0000 0.0000  2 Cl 2.14
O1 0.5000 0.5000 0.5000  12 Re 3.03
Cl1 0.0000 0.0000 0.0000  6 Re 2.14

No. 4
A relaxed ReCl3O crystal, computed with PBEsol.

Calculated values
- E_tot (eV per atom) = -3.55
- uncorrected formation energy (eV per atom) = 1.38
- space group = Pm-3m (221)

Lattice parameters (Å, degrees): 4.4507 4.4507 4.4507 90.00 90.00 90.00
With the nearest neighbours (Å) after each atom.
Element x y z (fractional)
Re1 0.5000 0.5000 0.5000  12 Cl 3.15
O1 0.0000 0.0000 0.0000  6 Cl 2.23
Cl1 0.0000 0.5000 0.0000  2 O 2.23
Cl2 0.0000 0.0000 0.5000  2 O 2.23
Cl3 0.5000 0.0000 0.0000  2 O 2.23

No. 5
A relaxed Re2Cl5O4 crystal, computed with PBEsol.

Calculated values
- E_tot (eV per atom) = -6.23
- uncorrected formation energy (eV per atom) = -0.98
- space group = P-1 (2)
- ΔE to the lowest computed polymorph (meV/atom) = 0

Lattice parameters (Å, degrees): 5.6556 8.9383 11.2673 68.57 80.70 79.05
With the nearest neighbours (Å) after each atom.
Element x y z (fractional)
Re1 0.2142 0.4018 0.3498  3 O 1.71-1.74
Re2 0.3583 0.8928 0.8066  1 O 1.68
Re3 0.7858 0.5982 0.6502  3 O 1.71-1.74
Re4 0.6417 0.1072 0.1934  1 O 1.68
Cl1 0.2536 0.6358 0.8820  1 Re 2.30
Cl2 0.6102 0.8047 0.9649  1 Re 2.28
Cl3 0.7464 0.3642 0.1180  1 Re 2.30
Cl4 0.7682 0.0746 0.3845  1 Re 2.28
Cl5 0.3898 0.1953 0.0351  1 Re 2.28
Cl6 0.2318 0.9254 0.6155  1 Re 2.28
Cl7 0.0452 0.6258 0.2115  1 Re 2.20
Cl8 0.4184 0.9019 0.2996  1 Re 2.28
Cl9 0.9548 0.3742 0.7885  1 Re 2.20
Cl10 0.5816 0.0981 0.7004  1 Re 2.28
O1 0.9813 0.6647 0.5153  1 Re 1.71
O2 0.7007 0.7506 0.7166  1 Re 1.74
O3 0.1171 0.9909 0.8705  1 Re 1.68
O4 0.2993 0.2494 0.2834  1 Re 1.74
O5 0.8829 0.0091 0.1295  1 Re 1.68
O6 0.0187 0.3353 0.4847  1 Re 1.71
O7 0.4666 0.4395 0.3929  1 Re 1.71
O8 0.5334 0.5605 0.6071  1 Re 1.71

No. 6
A relaxed Re2Cl5O4 crystal, computed with PBEsol.

Calculated values
- E_tot (eV per atom) = -6.22
- uncorrected formation energy (eV per atom) = -0.98
- space group = P1 (1)
- ΔE to the lowest computed polymorph (meV/atom) = 3

Lattice parameters (Å, degrees): 5.7096 6.4125 8.6191 110.79 106.15 95.70
With the nearest neighbours (Å) after each atom.
Element x y z (fractional)
Re1 0.9049 0.4454 0.4440  3 O 1.71-1.74
Re2 0.9497 0.0101 0.9943  1 O 1.69
O1 0.6328 0.5045 0.4775  1 Re 1.71
O2 0.0751 0.6828 0.4477  1 Re 1.71
O3 0.8320 0.2241 0.2378  1 Re 1.74
O4 0.0370 0.8577 0.8236  1 Re 1.69
Cl1 0.2446 0.9813 0.2222  1 Re 2.28
Cl2 0.6115 0.1134 0.8512  1 Re 2.28
Cl3 0.6796 0.7318 0.0035  1 Re 2.28
Cl4 0.1769 0.3678 0.0736  1 Re 2.28
Cl5 0.1189 0.3376 0.6455  1 Re 2.20

No. 7
A relaxed ReS2ClO crystal, computed with PBEsol.

Calculated values
- E_tot (eV per atom) = -5.23
- uncorrected formation energy (eV per atom) = 0.64
- space group = P4/mmm (123)

Lattice parameters (Å, degrees): 4.4748 4.4748 4.8782 90.00 90.00 90.00
With the nearest neighbours (Å) after each atom.
Element x y z (fractional)
Re1 0.0000 0.0000 0.0000  4 S 2.24, 2 Cl 2.44
S1 0.0000 0.5000 0.0000  2 Re 2.24
S2 0.5000 0.0000 0.0000  2 Re 2.24
O1 0.5000 0.5000 0.5000  4 Cl 3.16, 8 S 3.31
Cl1 0.0000 0.0000 0.5000  2 Re 2.44

No. 8
A relaxed RhClO2 crystal, computed with PBEsol.

Calculated values
- E_tot (eV per atom) = -5.14
- uncorrected formation energy (eV per atom) = 0.02
- space group = I-42d (122)

Lattice parameters (Å, degrees): 5.6053 5.6053 5.6053 95.57 116.84 116.84
With the nearest neighbours (Å) after each atom.
Element x y z (fractional)
Rh1 0.0000 0.0000 0.0000  4 O 1.85
Rh2 0.5000 0.7500 0.2500  4 O 1.85
O1 0.1473 0.7723 0.1250  2 Rh 1.85
O2 0.8527 0.9777 0.6250  2 Rh 1.85
O3 0.3527 0.3750 0.2277  2 Rh 1.85
O4 0.6473 0.8750 0.0223  2 Rh 1.85
Cl1 0.0000 0.5000 0.5000  8 O 2.91-3.24
Cl2 0.5000 0.2500 0.7500  8 O 2.91-3.24

| no. | total moment (μB/cell) |
| --- | --- |
| 1 | 0.119 |
| 2 | 0.000 |
| 3 | 1.100 |
| 4 | 5.091 |
| 5 | 2.008 |
| 6 | 1.003 |
| 7 | 1.567 |
| 8 | 0.885 |